## SmTl2Si2Au7 (PBE-GGA)

Data for a geometry-optimized SmTl2Si2Au7 structure.

## Properties
Formation energy without anion corrections ... -231.2 meV per atom
Mass density ... 12.1 g cm⁻³
Uncorrected energy ... -3.83 eV per atom

Structure (POSCAR):
```
SmTl2Si2Au7
1.0
-3.9064 -0.8974 2.6801
2.5254 -3.1992 2.5760
2.7770 7.3514 9.0378
Si Au Tl Sm
2 7 2 1
direct
0.3250 0.3250 0.2163
0.6750 0.6750 0.7837
0.5000 0.5000 0.0000
0.1330 0.5546 0.8288
0.4454 0.8670 0.1712
0.4404 0.4404 0.3977
0.8670 0.4454 0.1712
0.5596 0.5596 0.6023
0.5546 0.1330 0.8288
0.1142 0.1142 0.6119
0.8858 0.8858 0.3881
0.0000 0.0000 0.0000
```

=====

## Cu2PtPb2 (PBE-GGA)

Data for a geometry-optimized Cu2PtPb2 structure.

## Properties
DFT formation energy ... 0.111 eV per atom
Mass density ... 12.6 g cm⁻³
Uncorrected energy ... -4.22 eV per atom

Structure (POSCAR):
```
Cu2PtPb2
1.0
-0.9334 -4.9907 -4.6220
-4.4352 -3.0907 4.2329
-3.0816 2.1278 -1.6752
Cu Pb Pt
4 4 2
direct
0.8705 0.6295 0.0000
0.3705 0.8705 0.0000
0.6295 0.1295 0.0000
0.1295 0.3705 0.0000
0.3210 0.1790 0.5000
0.8210 0.3210 0.5000
0.1790 0.6790 0.5000
0.6790 0.8210 0.5000
0.5000 0.5000 0.0000
0.0000 0.0000 0.0000
```

=====

## Re2IrBr (PBE-GGA)

Data for a geometry-optimized Re2IrBr structure.

## Properties
Formation energy without anion corrections ... 1074.4 meV per atom
Energy relative to the lowest polymorph listed for this composition ... 547 meV/atom
Mass density ... 17.2 g cm⁻³
Uncorrected energy ... -7.78 eV per atom

Structure (POSCAR):
```
Re2IrBr
1.0
-1.1432 4.1276 1.8469
-3.7823 0.1700 -2.7240
-1.5209 -1.3291 2.0289
Re Br Ir
2 1 1
direct
0.5000 0.5000 0.0000
0.0000 0.0000 0.0000
0.5000 0.0000 0.5000
0.0000 0.5000 0.5000
```

=====

## TlIrRuO2 (PBE-GGA)

Data for a geometry-optimized TlIrRuO2 structure.

## Properties
Formation energy without anion corrections ... 1501.1 meV per atom
Energy relative to the lowest polymorph listed for this composition ... 1362 meV/atom
Mass density ... 9.7 g cm⁻³
Uncorrected energy ... -4.58 eV per atom

Structure (POSCAR):
```
TlIrRuO2
1.0
-1.4342 1.2979 3.4239
-5.4216 -0.1612 -2.2098
-0.3954 -3.7106 1.2409
Tl Ru O Ir
1 1 2 1
direct
0.0000 0.0000 0.0000
0.0000 0.5000 0.0000
0.0000 0.0000 0.5000
0.5000 0.0000 0.0000
0.5000 0.5000 0.5000
```

=====

Short version: DOS(E_F) = 0.2648, 0.3637, 0.9276, 1.7168 states/eV per atom, in the order given.
Short version: total moment = 0.00, 0.00, 0.00, 0.08 μB per atom, in the order given.